Density functional theory data (PBE) for crystalline KCdIn at its relaxed geometry.

Summary:
Calculated density: 3.587 g/cm3
Formation energy: 0.356 eV per atom
Distance to the lowest polymorph of the same formula: 0.481 eV/atom
Total DFT energy (no corrections): -1.23 eV per atom
Spin magnetization: 0.00 μB per formula unit

abc: 5.5864 5.5864 5.5864
angles: 60.00 60.00 60.00
With the nearest neighbours (Å) after each atom.
Fractional positions:
In: 0.5000 0.5000 0.5000  4 K 3.42
K: 0.7500 0.7500 0.7500  4 In 3.42, 4 Cd 3.42
Cd: 0.0000 0.0000 0.0000  4 K 3.42



Density functional theory data (PBE) for crystalline Cd2CoBr at its relaxed geometry.

Summary:
Calculated density: 6.758 g/cm3
Formation energy from raw total energies: 0.68 eV/atom
Distance to the lowest polymorph of the same formula: 0.572 eV/atom
Total DFT energy (no corrections): -1.97 eV per atom
Spin magnetization: 1.77 μB per formula unit

abc: 5.0183 5.0183 5.0183
angles: 60.00 60.00 60.00
With the nearest neighbours (Å) after each atom.
Fractional positions:
Cd: 0.2500 0.2500 0.2500  4 Br 3.07, 4 Co 3.07
Co: 0.0000 0.0000 0.0000  8 Cd 3.07
Cd: 0.7500 0.7500 0.7500  4 Br 3.07, 4 Co 3.07
Br: 0.5000 0.5000 0.5000  8 Cd 3.07



Density functional theory data (PBE) for crystalline Tm3AlSn3 at its relaxed geometry.

Summary:
Calculated density: 8.283 g/cm3
Formation energy: -0.347 eV per atom
Total DFT energy (no corrections): -4.51 eV per atom
Spin magnetization: 0.00 μB per formula unit

abc: 5.6000 8.5773 8.5773
angles: 120.00 90.00 90.00
With the nearest neighbours (Å) after each atom.
Fractional positions:
Sn: 0.2500 0.2656 0.0601  5 Tm 3.04-3.29, 1 Al 3.04
Tm: 0.7500 0.6418 0.5483  5 Sn 3.04-3.29, 1 Al 3.27, 2 Tm 3.39
Sn: 0.2500 0.7945 0.7344  5 Tm 3.04-3.29, 1 Al 3.04
Sn: 0.2500 0.9399 0.2055  5 Tm 3.04-3.29, 1 Al 3.04
Sn: 0.7500 0.7344 0.9399  5 Tm 3.04-3.29, 1 Al 3.04
Sn: 0.7500 0.0601 0.7945  5 Tm 3.04-3.29, 1 Al 3.04
Sn: 0.7500 0.2055 0.2656  5 Tm 3.04-3.29, 1 Al 3.04
Tm: 0.2500 0.0935 0.6418  5 Sn 3.04-3.29, 1 Al 3.27, 2 Tm 3.39
Al: 0.2500 0.6667 0.3333  3 Sn 3.04, 3 Tm 3.27
Al: 0.7500 0.3333 0.6667  3 Sn 3.04, 3 Tm 3.27
Tm: 0.2500 0.5483 0.9065  5 Sn 3.04-3.29, 1 Al 3.27, 2 Tm 3.39
Tm: 0.7500 0.9065 0.3582  5 Sn 3.04-3.29, 1 Al 3.27, 2 Tm 3.39
Tm: 0.2500 0.3582 0.4517  5 Sn 3.04-3.29, 1 Al 3.27, 2 Tm 3.39
Tm: 0.7500 0.4517 0.0935  5 Sn 3.04-3.29, 1 Al 3.27, 2 Tm 3.39